[1]
Sr2RhPb | GGA-PBE | relaxed

- total DFT energy (no corrections) (eV per atom) = -3.787
- symmetry = Cmmm (65)
- D(E_F) (states/eV per cell) = 4.0

Structure (POSCAR):
```
Sr2RhPb
1.0
3.665 -3.671 0.000
3.665 3.671 0.000
0.000 0.000 4.267
Sr Rh Pb
2 1 1
Cartesian
1.833 1.835 0.000
1.833 -1.835 0.000
0.000 0.000 2.134
3.665 0.000 2.134
```

[2]
PmEr6Tm3In2 | GGA-PBE | relaxed

- total DFT energy (no corrections) (eV per atom) = -4.335
- symmetry = C2/m (12)
- D(E_F) (states/eV per cell) = 13.0

Structure (POSCAR):
```
PmEr6Tm3In2
1.0
3.024 -5.232 0.000
3.024 5.232 0.000
-2.013 0.000 11.177
Pm Er Tm In
1 6 3 2
Cartesian
0.000 0.000 0.000
1.018 1.767 2.764
0.029 0.000 8.413
1.018 -1.767 2.764
3.018 1.767 8.413
4.007 0.000 2.764
3.018 -1.767 8.413
2.018 3.483 5.588
2.018 0.000 5.588
2.018 -3.483 5.588
3.024 1.740 0.000
3.024 -1.740 0.000
```

[3]
ThTe6Au2 | GGA-PBE | relaxed

- symmetry = C2/c (15)
- uncorrected formation energy (eV/atom) = -0.3515
- D(E_F) (states/eV per cell) = 1.9

Structure (POSCAR):
```
ThTe6Au2
1.0
7.661 -5.276 0.000
7.661 5.276 0.000
-3.733 0.000 7.836
Th Te Au
2 12 4
Cartesian
4.861 3.751 5.877
6.727 -3.751 1.959
4.927 4.097 2.610
2.184 1.612 1.695
8.528 4.097 1.308
4.252 0.822 4.600
0.317 -1.612 5.613
6.119 -0.822 0.682
5.469 0.822 7.154
11.271 1.612 2.223
7.336 -0.822 3.236
3.060 -4.097 6.528
9.405 -1.612 6.141
6.662 -4.097 5.226
1.665 0.929 5.196
3.532 -0.929 1.278
8.056 0.929 6.558
9.923 -0.929 2.640
```

[4]
Ca2TaZn | GGA-PBE | relaxed

- total DFT energy (no corrections) (eV per atom) = -3.892
- symmetry = P4/mmm (123)
- D(E_F) (states/eV per cell) = 3.5

Structure (POSCAR):
```
Ca2TaZn
1.0
3.214 0.000 0.000
0.000 3.214 0.000
0.000 0.000 9.263
Ca Ta Zn
2 1 1
Cartesian
0.000 0.000 2.227
0.000 0.000 7.037
1.607 1.607 4.632
1.607 1.607 0.000
```